Entry i
Material: TeBrCl2
Method: DFT, GGA-PBE
State: optimized geometry

```
TeBrCl2
1.0
4.2786 0.0000 0.0000
0.0000 7.0629 0.4423
0.0000 4.5376 5.4101
Te Br Cl
1 1 2
Direct
0.5000 0.2500 0.2500
0.5000 0.7500 0.7500
0.0000 0.1231 0.1238
0.0000 0.3769 0.3762
```

Symmetry ... P2/m (10)
Spin magnetization ... 0.000 μB/atom
DOS at the Fermi energy ... 1.187 states/eV per cell
Mass density ... 3.0 g cm⁻³

=====

Entry ii
Material: TeBrCl2
Method: DFT, GGA-PBE
State: optimized geometry

```
TeBrCl2
1.0
7.4392 -0.0923 -0.2593
-4.5256 5.0102 0.0532
-1.6119 1.0683 3.0010
Te Br Cl
1 1 2
Direct
0.0000 0.5000 0.5000
0.5000 0.5000 0.0000
0.0000 0.0000 0.0000
0.5000 0.0000 0.5000
```

Symmetry ... C2/m (12)
Spin magnetization ... 0.000 μB/atom
DOS at the Fermi energy ... 2.075 states/eV per cell
Mass density ... 4.2 g cm⁻³

=====

entry i (0.503 eV/atom below the next structure)

=====

Entry i
Material: B2C3
Method: DFT, GGA-PBE
State: optimized geometry

```
B2C3
1.0
-0.8585 2.3059 2.9228
3.6403 1.1118 -2.3226
-2.2753 1.1413 -3.6721
B C
4 6
Direct
0.6035 0.3459 0.8141
0.7368 0.5882 0.4904
0.2868 0.8367 0.6130
0.8037 0.1985 0.4245
0.3250 0.8993 0.2711
0.9615 0.2944 0.1043
0.3826 0.6059 0.1805
0.5595 0.6927 0.8891
0.0004 0.9857 0.0137
0.0903 0.0526 0.6992
```

Symmetry ... P1 (1)
Spin magnetization ... 0.000 μB/atom
DOS at the Fermi energy ... 0.143 states/eV per cell
Mass density ... 3.0 g cm⁻³

=====

Entry ii
Material: B2C3
Method: DFT, GGA-PBE
State: optimized geometry

```
B2C3
1.0
-1.5080 4.2933 11.6464
0.8630 3.1920 12.0586
0.6958 5.6632 11.1260
B C
4 6
Direct
0.5516 0.5516 0.5516
0.0656 0.0656 0.0656
0.9344 0.9344 0.9344
0.4484 0.4484 0.4484
0.8894 0.8894 0.8894
0.7144 0.7144 0.7144
0.2856 0.2856 0.2856
0.1106 0.1106 0.1106
0.6743 0.6743 0.6743
0.3257 0.3257 0.3257
```

Symmetry ... R-3m (166)
Spin magnetization ... 0.000 μB/atom
DOS at the Fermi energy ... 0.819 states/eV per cell
Mass density ... 2.5 g cm⁻³

=====

entry ii (0.138 eV/atom below the next structure)